[1]
Density functional theory data (PBE) for a geometry-optimized Th2CdCu structure.

Structure (CIF):
```
data_Th2CdCu
_chemical_formula_sum 'Th6 Cd3 Cu3'
_symmetry_space_group_name_H-M 'R -3 m'
_symmetry_Int_Tables_number 166
_symmetry_space_group_name_Hall '-R 3 2"'
_cell_length_a 3.4256
_cell_length_b 3.4256
_cell_length_c 33.5933
_cell_angle_alpha 90.00
_cell_angle_beta 90.00
_cell_angle_gamma 120.00
loop_
_atom_site_label
_atom_site_fract_x
_atom_site_fract_y
_atom_site_fract_z
Th1 0.0000 0.0000 0.1004
Cd1 0.0000 0.0000 0.0000
Cu1 0.0000 0.0000 0.5000
```

Calculated values
* calculated formation energy: 279.6 meV per atom
* density of states at the Fermi level: 1.208 states/eV per atom
* uncorrected energy: -56.20 eV/cell
* energy above the most stable polymorph in this dataset: 354 meV/atom
* spin magnetization: 0.00 μB per cell



[2]
Density functional theory data (PBE) for a geometry-optimized IrSe2F structure.

Structure (CIF):
```
data_IrSe2F
_chemical_formula_sum 'Ir4 Se8 F4'
_symmetry_space_group_name_H-M 'I -4 2 d'
_symmetry_Int_Tables_number 122
_symmetry_space_group_name_Hall 'I -4 2bw'
_cell_length_a 6.146
_cell_length_b 6.146
_cell_length_c 9.351
_cell_angle_alpha 90.00
_cell_angle_beta 90.00
_cell_angle_gamma 90.00
loop_
_atom_site_label
_atom_site_fract_x
_atom_site_fract_y
_atom_site_fract_z
Ir1 0.000 0.000 0.000
Se1 0.218 0.250 0.125
F1 0.000 0.000 0.500
```

Calculated values
* density of states at the Fermi level: 0.504 states/eV per atom
* uncorrected energy: -75.44 eV/cell
* spin magnetization: 0.00 μB per cell
* formation energy from raw total energies: -0.2897 eV per atom



[3]
Density functional theory data (PBE) for a geometry-optimized La5GeS4 structure.

Structure (CIF):
```
data_La5GeS4
_chemical_formula_sum 'La10 Ge2 S8'
_symmetry_space_group_name_H-M 'I 4/m'
_symmetry_Int_Tables_number 87
_symmetry_space_group_name_Hall '-I 4'
_cell_length_a 9.438
_cell_length_b 9.438
_cell_length_c 5.961
_cell_angle_alpha 90.00
_cell_angle_beta 90.00
_cell_angle_gamma 90.00
loop_
_atom_site_label
_atom_site_fract_x
_atom_site_fract_y
_atom_site_fract_z
La1 0.000 0.000 0.000
La2 0.101 0.698 0.500
Ge1 0.000 0.000 0.500
S1 0.102 0.699 0.000
```

Calculated values
* density of states at the Fermi level: 0.567 states/eV per atom
* uncorrected energy: -130.06 eV/cell
* spin magnetization: 0.00 μB per cell
* formation energy from raw total energies: -1.9266 eV per atom



[4]
Density functional theory data (PBE) for a geometry-optimized Sc3OsF structure.

Structure (CIF):
```
data_Sc3OsF
_chemical_formula_sum 'Sc3 Os1 F1'
_symmetry_space_group_name_H-M 'P m -3 m'
_symmetry_Int_Tables_number 221
_symmetry_space_group_name_Hall '-P 4 2 3'
_cell_length_a 4.363
_cell_length_b 4.363
_cell_length_c 4.363
_cell_angle_alpha 90.00
_cell_angle_beta 90.00
_cell_angle_gamma 90.00
loop_
_atom_site_label
_atom_site_fract_x
_atom_site_fract_y
_atom_site_fract_z
Sc1 0.000 0.000 0.500
Os1 0.500 0.500 0.500
F1 0.000 0.000 0.000
```

Calculated values
* density of states at the Fermi level: 1.304 states/eV per atom
* uncorrected energy: -36.51 eV/cell
* energy above the most stable polymorph in this dataset: 0 meV/atom
* spin magnetization: 0.00 μB per cell
* formation energy from raw total energies: -0.8827 eV per atom



[5]
Density functional theory data (PBE) for a geometry-optimized EuGdCuPb structure.

Structure (CIF):
```
data_EuGdCuPb
_chemical_formula_sum 'Eu4 Gd4 Cu4 Pb4'
_symmetry_space_group_name_H-M 'F -4 3 m'
_symmetry_Int_Tables_number 216
_symmetry_space_group_name_Hall 'F -4 2 3'
_cell_length_a 7.575
_cell_length_b 7.575
_cell_length_c 7.575
_cell_angle_alpha 90.00
_cell_angle_beta 90.00
_cell_angle_gamma 90.00
loop_
_atom_site_label
_atom_site_fract_x
_atom_site_fract_y
_atom_site_fract_z
Eu1 0.000 0.000 0.000
Gd1 0.000 0.000 0.500
Cu1 0.250 0.250 0.750
Pb1 0.250 0.250 0.250
```

Calculated values
* calculated formation energy: -312.0 meV per atom
* density of states at the Fermi level: 1.889 states/eV per atom
* uncorrected energy: -133.63 eV/cell
* spin magnetization: 0.48 μB per cell



[6]
Density functional theory data (PBE) for a geometry-optimized K2SnHgAu structure.

Structure (CIF):
```
data_K2SnHgAu
_chemical_formula_sum 'K2 Sn1 Hg1 Au1'
_symmetry_space_group_name_H-M 'P 4/m m m'
_symmetry_Int_Tables_number 123
_symmetry_space_group_name_Hall '-P 4 2'
_cell_length_a 6.480
_cell_length_b 6.480
_cell_length_c 5.100
_cell_angle_alpha 90.00
_cell_angle_beta 90.00
_cell_angle_gamma 90.00
loop_
_atom_site_label
_atom_site_fract_x
_atom_site_fract_y
_atom_site_fract_z
K1 0.000 0.500 0.000
Sn1 0.000 0.000 0.500
Hg1 0.500 0.500 0.500
Au1 0.000 0.000 0.000
```

Calculated values
* calculated formation energy: -152.9 meV per atom
* density of states at the Fermi level: 0.654 states/eV per atom
* uncorrected energy: -10.54 eV/cell
* spin magnetization: 0.00 μB per cell